Record 1
Entry from the Alexandria database: a geometry-optimized Pa2MnCo3Ge4 structure (GGA-PBE).

* magnetization: 2.39 μB/cell
* E: -72.9 eV per cell

CIF file:
```
data_Pa2MnCo3Ge4
_chemical_formula_sum 'Pa2 Mn1 Co3 Ge4'
_space_group_name_H-M_alt 'P -4 m 2'
_space_group_IT_number 115
_cell_length_a 4.008
_cell_length_b 4.008
_cell_length_c 9.935
_cell_angle_alpha 90.00
_cell_angle_beta 90.00
_cell_angle_gamma 90.00
loop_
_space_group_symop_operation_xyz
'x,y,z'
'y,-x,-z'
'-x,-y,z'
'-y,x,-z'
'-x,y,z'
'-y,-x,-z'
'x,-y,z'
'y,x,-z'
loop_
_atom_site_label
_atom_site_fract_x
_atom_site_fract_y
_atom_site_fract_z
Pa1 0.000 0.500 0.245
Mn1 0.000 0.000 0.500
Co1 0.000 0.500 0.871
Co2 0.500 0.500 0.500
Ge1 0.000 0.000 0.000
Ge2 0.000 0.500 0.638
Ge3 0.500 0.500 0.000
```

***

Record 2
Entry from the Alexandria database: a geometry-optimized MnCoGePd structure (GGA-PBE).

* magnetization: 20.65 μB/cell
* E: -107.0 eV per cell

CIF file:
```
data_MnCoGePd
_chemical_formula_sum 'Mn4 Co4 Ge4 Pd4'
_space_group_name_H-M_alt 'F -4 3 m'
_space_group_IT_number 216
_space_group_name_Hall 'F -4 2 3'
_cell_length_a 6.012
_cell_length_b 6.012
_cell_length_c 6.012
_cell_angle_alpha 90.00
_cell_angle_beta 90.00
_cell_angle_gamma 90.00
loop_
_atom_site_label
_atom_site_fract_x
_atom_site_fract_y
_atom_site_fract_z
Mn1 0.000 0.000 0.000
Co1 0.250 0.250 0.250
Ge1 0.000 0.000 0.500
Pd1 0.250 0.250 0.750
```

***

Record 3
Entry from the Alexandria database: a geometry-optimized PmMnCoGe3 structure (GGA-PBE).

* magnetization: 2.85 μB/cell
* E: -144.8 eV per cell

CIF file:
```
data_PmMnCoGe3
_chemical_formula_sum 'Pm4 Mn4 Co4 Ge12'
_space_group_name_H-M_alt 'C m c m'
_space_group_IT_number 63
_space_group_name_Hall '-C 2c 2'
_cell_length_a 7.182
_cell_length_b 10.870
_cell_length_c 5.767
_cell_angle_alpha 90.00
_cell_angle_beta 90.00
_cell_angle_gamma 90.00
loop_
_atom_site_label
_atom_site_fract_x
_atom_site_fract_y
_atom_site_fract_z
Pm1 0.000 0.245 0.250
Mn1 0.000 0.448 0.750
Co1 0.000 0.040 0.750
Ge1 0.000 0.243 0.750
Ge2 0.249 0.000 0.000
```